[1]
The following is a DFT calculation (meta-GGA SCAN) of MgB2H13N3 at its PBEsol-relaxed geometry.

Calculated values
- E: -403.09 eV per cell
- Total magnetization: 0.0 μB/f.u.

Cell lengths 7.8588, 8.9083, 8.4424 Å; angles 90.00, 95.24, 90.00 degrees
Space group P2_1/c (No. 14)
Asymmetric unit:
Mg: 0.2130 0.0652 0.2660
B: 0.1455 0.7375 0.2386
B: 0.2910 0.2245 0.9538
H: 0.0241 0.6556 0.1882
H: 0.0408 0.1068 0.6840
H: 0.0456 0.1396 0.9886
H: 0.1075 0.6497 0.9568
H: 0.1844 0.0062 0.9629
H: 0.2136 0.7207 0.6187
H: 0.2491 0.6591 0.3204
H: 0.2551 0.1475 0.5003
H: 0.2799 0.2214 0.8045
H: 0.4390 0.5744 0.2240
H: 0.4427 0.2016 0.9979
H: 0.4881 0.5749 0.6791
H: 0.4890 0.0786 0.6281
N: 0.0881 0.6268 0.8369
N: 0.1702 0.1076 0.0198
N: 0.4709 0.5098 0.7776


[2]
The following is a DFT calculation (meta-GGA SCAN) of YCu2W at its PBEsol-relaxed geometry.

Calculated values
- E_form: 243 kJ/mol of formula units
- Total magnetization: 0.0 μB/f.u.
- Energy relative to the lowest polymorph listed for this composition: 0.189 eV/atom

Cell lengths 2.8422, 2.8422, 27.4574 Å; angles 90.00, 90.00, 120.00 degrees
Space group R3m (No. 160, hexagonal axes)
Asymmetric unit:
Y: 0.0000 0.0000 0.0000
Cu: 0.0000 0.0000 0.4912
Cu: 0.0000 0.0000 0.7564
W: 0.0000 0.0000 0.2341